The following is a DFT calculation (PBE) of a relaxed BaNa2Hg2Bi2 crystal.

Symmetry ... No. 166
Density ... 7.644 g cm⁻³
Energy ... -2.29 eV/atom
Formation enthalpy at 0 K ... -0.45 eV/atom
Density of states at the Fermi level ... 0.14 states/eV per atom

a = 5.1513 Å, b = 5.1513 Å, c = 9.9322 Å
α = 74.97°, β = 74.97°, γ = 60.00°
Last column: nearest neighbours and their distance in Å.
Positions (direct):
Ba: 0.0000 0.0000 0.0000  6 Bi 3.65, 2 Na 4.03
Na: 0.1419 0.1419 0.5743  3 Hg 3.08, 3 Na 3.29, 1 Bi 3.33
Na: 0.8581 0.8581 0.4257  3 Hg 3.08, 3 Na 3.29, 1 Bi 3.33
Hg: 0.5524 0.5524 0.3427  1 Hg 2.98, 3 Na 3.08, 3 Bi 3.18
Hg: 0.4476 0.4476 0.6573  1 Hg 2.98, 3 Na 3.08, 3 Bi 3.18
Bi: 0.7410 0.7410 0.7769  3 Hg 3.18, 4 Na 3.33-3.54
Bi: 0.2590 0.2590 0.2231  3 Hg 3.18, 4 Na 3.33-3.54